Computed, not measured: an optimized crystal structure of TiAlPtCl2 at the PBE level of DFT.

The structure in extended XYZ format:
```
5
Lattice="4.310 0.000 0.000 0.000 6.160 0.000 0.000 0.000 4.310" Properties=species:S:1:pos:R:3 pbc="T T T"
Cl 0.000 0.000 2.155
Cl 2.155 0.000 0.000
Al 0.000 0.000 0.000
Pt 2.155 3.080 2.155
Ti 0.000 3.080 0.000
```

Total DFT energy (no corrections) ... -3.97 eV/atom
Raw formation energy ... 0.3079 eV per atom
Space group ... P4/mmm
Magnetization ... 0.0003 μB per atom

=====

Computed, not measured: an optimized crystal structure of DyP2Pd at the PBE level of DFT.

The structure in extended XYZ format:
```
4
Lattice="3.963 0.000 0.000 1.982 3.432 0.000 1.982 1.144 5.363" Properties=species:S:1:pos:R:3 pbc="T T T"
P 1.982 1.144 1.092
P 5.945 3.432 4.270
Pd 0.000 0.000 0.000
Dy 3.963 2.288 2.681
```

Formation energy ... -0.7721 eV per atom
Total DFT energy (no corrections) ... -5.93 eV/atom
Space group ... R-3m
Magnetization ... 0.0000 μB per atom